(1)
Compound: Zr6MnRh5
Source: Alexandria via LeMat-Bulk
Functional: PBE-GGA
Structure: relaxed

Calculated values
ΔE_f in eV/atom: -0.65
Total magnetization in μB/atom: 0.00

a b c (Å): 8.0328 8.0328 8.0328
angles (deg): 146.40 131.65 60.17
Atoms (fractional coordinates):
1 Zr 0.0836 0.3361 0.7475
2 Zr 0.2453 0.0000 0.2453
3 Zr 0.4114 0.6639 0.7475
4 Zr 0.5886 0.3361 0.2525
5 Zr 0.7547 0.0000 0.7547
6 Zr 0.9164 0.6639 0.2525
7 Mn 0.0000 0.5000 0.5000
8 Rh 0.1650 0.1650 0.0000
9 Rh 0.3302 0.8302 0.5000
10 Rh 0.5000 0.5000 0.0000
11 Rh 0.6698 0.1698 0.5000
12 Rh 0.8350 0.8350 0.0000

***

(2)
Compound: MgZnNi2
Source: Alexandria via LeMat-Bulk
Functional: PBE-GGA
Structure: relaxed

Calculated values
ΔE_f in eV/atom: -0.14
Total magnetization in μB/atom: 0.00

a b c (Å): 5.0198 5.0198 5.0198
angles (deg): 146.31 130.72 61.03
Atoms (fractional coordinates):
1 Mg 0.0000 0.0000 0.0000
2 Zn 0.7274 0.2274 0.5000
3 Ni 0.2578 0.7578 0.5000
4 Ni 0.4906 0.4906 0.0000

***

(3)
Compound: Tm3CuBi2
Source: Alexandria via LeMat-Bulk
Functional: PBE-GGA
Structure: relaxed

Calculated values
ΔE_f in eV/atom: -0.24
Total magnetization in μB/atom: 0.00

a b c (Å): 7.9560 7.9560 4.1160
angles (deg): 90.00 90.00 135.19
Atoms (fractional coordinates):
1 Tm 0.0000 0.0000 0.0000
2 Tm 0.3725 0.6275 0.5000
3 Tm 0.6275 0.3725 0.5000
4 Cu 0.5000 0.5000 0.0000
5 Bi 0.1609 0.8391 0.5000
6 Bi 0.8391 0.1609 0.5000

***

(4)
Compound: La2AlCr
Source: Alexandria via LeMat-Bulk
Functional: PBE-GGA
Structure: relaxed

Calculated values
ΔE_f in eV/atom: 0.06
Total magnetization in μB/atom: 0.85

a b c (Å): 3.7029 4.7942 6.4860
angles (deg): 90.00 106.12 90.00
Atoms (fractional coordinates):
1 La 0.0000 0.0000 0.0000
2 La 0.2914 0.5000 0.5974
3 Al 0.5867 0.5000 0.1775
4 Cr 0.6997 0.0000 0.4098

***

(5)
Compound: CsRb2U2S7
Source: Alexandria via LeMat-Bulk
Functional: PBE-GGA
Structure: relaxed

Calculated values
E_tot in eV per atom: -5.840
Total magnetization in μB/atom: 0.09

a b c (Å): 14.0723 14.0723 14.0723
angles (deg): 158.57 158.57 30.49
Atoms (fractional coordinates):
1 Cs 0.0000 0.0000 0.0000
2 Rb 0.1858 0.1858 0.0000
3 Rb 0.8142 0.8142 0.0000
4 U 0.4027 0.4027 0.0000
5 U 0.5973 0.5973 0.0000
6 S 0.0962 0.5962 0.5000
7 S 0.3123 0.3123 0.0000
8 S 0.4038 0.9038 0.5000
9 S 0.5000 0.5000 0.0000
10 S 0.5962 0.0962 0.5000
11 S 0.6877 0.6877 0.0000
12 S 0.9038 0.4038 0.5000

***

(6)
Compound: Tl2InPbI4
Source: Alexandria via LeMat-Bulk
Functional: PBE-GGA
Structure: relaxed

Calculated values
E_tot in eV per atom: -2.614
Total magnetization in μB/atom: 0.00

a b c (Å): 8.1722 5.5265 8.2424
angles (deg): 90.00 115.51 90.00
Atoms (fractional coordinates):
1 Tl 0.0000 0.0000 0.0000
2 Tl 0.0000 0.5000 0.5000
3 In 0.5000 0.0000 0.5000
4 Pb 0.5000 0.5000 0.0000
5 I 0.2632 0.5000 0.2406
6 I 0.2658 0.0000 0.7632
7 I 0.7342 0.0000 0.2368
8 I 0.7368 0.5000 0.7594

***

(7)
Compound: MgZn5Ag6
Source: Alexandria via LeMat-Bulk
Functional: PBE-GGA
Structure: relaxed

Calculated values
ΔE_f in eV/atom: -0.07
Offset from the most stable computed form in meV/atom: 3
Total magnetization in μB/atom: 0.00

a b c (Å): 7.0900 7.0900 6.6144
angles (deg): 90.22 90.22 143.49
Atoms (fractional coordinates):
1 Mg 0.0000 0.0000 0.0000
2 Zn 0.0000 0.0000 0.5000
3 Zn 0.3362 0.6638 0.0000
4 Zn 0.3355 0.6645 0.5000
5 Zn 0.6638 0.3362 0.0000
6 Zn 0.6645 0.3355 0.5000
7 Ag 0.1702 0.8297 0.2525
8 Ag 0.1703 0.8298 0.7475
9 Ag 0.4994 0.4994 0.7422
10 Ag 0.5006 0.5006 0.2578
11 Ag 0.8297 0.1702 0.2525
12 Ag 0.8298 0.1703 0.7475

***

(8)
Compound: Sc2SnPt2
Source: Alexandria via LeMat-Bulk
Functional: PBE-GGA
Structure: relaxed

Calculated values
ΔE_f in eV/atom: -0.73
Total magnetization in μB/atom: 0.00

a b c (Å): 7.8293 7.8293 7.8293
angles (deg): 151.57 151.57 40.64
Atoms (fractional coordinates):
1 Sc 0.1203 0.1203 0.0000
2 Sc 0.8797 0.8797 0.0000
3 Sn 0.5000 0.5000 0.0000
4 Pt 0.2500 0.7500 0.5000
5 Pt 0.7500 0.2500 0.5000